Entry 1:
VASP calculation (PBE) on a relaxed LiTaSbPb2 crystal.

Cell lengths 5.544, 5.544, 5.382 Å; angles 90.00, 90.00, 90.00 degrees
Element x y z (fractional)
Li 0.000 0.000 0.000
Ta 0.500 0.500 0.500
Sb 0.500 0.500 0.000
Pb 0.000 0.500 0.500
Pb 0.500 0.000 0.500

space-group type = P4/mmm (123)
formation energy without anion corrections = 0.34 eV per atom
spin magnetization = 0.0000 μB per atom
calculated total energy = -23.62 eV/f.u.

---

Entry 2:
VASP calculation (PBE) on a relaxed CsLiAs2Br crystal.

Cell lengths 4.900, 4.900, 6.421 Å; angles 90.00, 90.00, 90.00 degrees
Element x y z (fractional)
Cs 0.000 0.000 0.000
Li 0.500 0.500 0.500
As 0.000 0.500 0.500
As 0.500 0.000 0.500
Br 0.500 0.500 0.000

offset from the most stable computed form = 0.0000 eV/atom
space-group type = P4/mmm (123)
formation energy without anion corrections = -0.16 eV per atom
spin magnetization = 0.3757 μB per atom
calculated total energy = -14.54 eV/f.u.

---

Number 2 is which compound?
CsLiAs2Br

---

Look up the formation energy without anion corrections of the second one.
-0.16 eV per atom

---

Which value of calculated total energy does entry 2 give?
-14.54 eV/f.u.

---

The highest calculated total energy belongs to which entry?
CsLiAs2Br